## NaCd2CoOs (GGA-PBE)

Data for NaCd2CoOs after structural relaxation.

Output
formation enthalpy at 0 K = 2.00 eV per atom
total DFT energy (no corrections) = -11.46 eV/cell
theoretical density = 7.6 g cm⁻³

```
data_NaCd2CoOs
_chemical_formula_sum 'Na1 Cd2 Co1 Os1'
_symmetry_space_group_name_H-M 'P 4/m m m'
_symmetry_Int_Tables_number 123
_symmetry_space_group_name_Hall '-P 4 2'
_cell_length_a 4.7478
_cell_length_b 4.7478
_cell_length_c 4.8388
_cell_angle_alpha 90.00
_cell_angle_beta 90.00
_cell_angle_gamma 90.00
loop_
_atom_site_label
_atom_site_fract_x
_atom_site_fract_y
_atom_site_fract_z
Na1 0.0000 0.0000 0.0000
Cd1 0.0000 0.5000 0.0000
Co1 0.5000 0.5000 0.5000
Os1 0.0000 0.0000 0.5000
```

---

## NaCdCoPt2 (GGA-PBE)

Data for NaCdCoPt2 after structural relaxation.

Output
formation enthalpy at 0 K = 1.27 eV per atom
total DFT energy (no corrections) = -15.08 eV/cell
theoretical density = 10.1 g cm⁻³

```
data_NaCdCoPt2
_chemical_formula_sum 'Na1 Cd1 Co1 Pt2'
_symmetry_space_group_name_H-M 'P 4/m m m'
_symmetry_Int_Tables_number 123
_symmetry_space_group_name_Hall '-P 4 2'
_cell_length_a 4.7060
_cell_length_b 4.7060
_cell_length_c 4.3473
_cell_angle_alpha 90.00
_cell_angle_beta 90.00
_cell_angle_gamma 90.00
loop_
_atom_site_label
_atom_site_fract_x
_atom_site_fract_y
_atom_site_fract_z
Na1 0.0000 0.0000 0.0000
Cd1 0.5000 0.5000 0.5000
Co1 0.0000 0.0000 0.5000
Pt1 0.0000 0.5000 0.0000
```

---

## NaCd2CoSb (GGA-PBE)

Data for NaCd2CoSb after structural relaxation.

Output
formation energy without anion corrections = 8 meV per atom
total DFT energy (no corrections) = -14.34 eV/cell
theoretical density = 5.8 g cm⁻³

```
data_NaCd2CoSb
_chemical_formula_sum 'Na1 Cd2 Co1 Sb1'
_symmetry_space_group_name_H-M 'P 4/m m m'
_symmetry_Int_Tables_number 123
_symmetry_space_group_name_Hall '-P 4 2'
_cell_length_a 5.0863
_cell_length_b 5.0863
_cell_length_c 4.7461
_cell_angle_alpha 90.00
_cell_angle_beta 90.00
_cell_angle_gamma 90.00
loop_
_atom_site_label
_atom_site_fract_x
_atom_site_fract_y
_atom_site_fract_z
Na1 0.0000 0.0000 0.0000
Cd1 0.0000 0.5000 0.5000
Co1 0.5000 0.5000 0.5000
Sb1 0.5000 0.5000 0.0000
```

---

## NaCdCo2Si (GGA-PBE)

Data for NaCdCo2Si after structural relaxation.

Output
formation energy without anion corrections = 1653 meV per atom
total DFT energy (no corrections) = -13.60 eV/cell
theoretical density = 4.9 g cm⁻³

```
data_NaCdCo2Si
_chemical_formula_sum 'Na1 Cd1 Co2 Si1'
_symmetry_space_group_name_H-M 'P 4/m m m'
_symmetry_Int_Tables_number 123
_symmetry_space_group_name_Hall '-P 4 2'
_cell_length_a 4.4923
_cell_length_b 4.4923
_cell_length_c 4.7685
_cell_angle_alpha 90.00
_cell_angle_beta 90.00
_cell_angle_gamma 90.00
loop_
_atom_site_label
_atom_site_fract_x
_atom_site_fract_y
_atom_site_fract_z
Na1 0.0000 0.0000 0.0000
Cd1 0.5000 0.5000 0.5000
Co1 0.0000 0.5000 0.0000
Si1 0.0000 0.0000 0.5000
```

---

## NaCdCoSn2 (GGA-PBE)

Data for NaCdCoSn2 after structural relaxation.

Output
formation enthalpy at 0 K = -0.01 eV per atom
total DFT energy (no corrections) = -17.38 eV/cell
theoretical density = 5.8 g cm⁻³

```
data_NaCdCoSn2
_chemical_formula_sum 'Na1 Cd1 Co1 Sn2'
_symmetry_space_group_name_H-M 'P 4/m m m'
_symmetry_Int_Tables_number 123
_symmetry_space_group_name_Hall '-P 4 2'
_cell_length_a 4.9038
_cell_length_b 4.9038
_cell_length_c 5.1227
_cell_angle_alpha 90.00
_cell_angle_beta 90.00
_cell_angle_gamma 90.00
loop_
_atom_site_label
_atom_site_fract_x
_atom_site_fract_y
_atom_site_fract_z
Na1 0.0000 0.0000 0.0000
Cd1 0.5000 0.5000 0.0000
Co1 0.5000 0.5000 0.5000
Sn1 0.0000 0.5000 0.5000
```

---

## NaTiCdCo2 (GGA-PBE)

Data for NaTiCdCo2 after structural relaxation.

Output
formation enthalpy at 0 K = 1.53 eV per atom
total DFT energy (no corrections) = -16.67 eV/cell
theoretical density = 4.8 g cm⁻³

```
data_NaTiCdCo2
_chemical_formula_sum 'Na1 Ti1 Cd1 Co2'
_symmetry_space_group_name_H-M 'P 4/m m m'
_symmetry_Int_Tables_number 123
_symmetry_space_group_name_Hall '-P 4 2'
_cell_length_a 4.7251
_cell_length_b 4.7251
_cell_length_c 4.6301
_cell_angle_alpha 90.00
_cell_angle_beta 90.00
_cell_angle_gamma 90.00
loop_
_atom_site_label
_atom_site_fract_x
_atom_site_fract_y
_atom_site_fract_z
Na1 0.0000 0.0000 0.0000
Ti1 0.5000 0.5000 0.0000
Cd1 0.0000 0.0000 0.5000
Co1 0.0000 0.5000 0.5000
```

---

## NaTlCd2Co (GGA-PBE)

Data for NaTlCd2Co after structural relaxation.

Output
formation enthalpy at 0 K = 0.14 eV per atom
total DFT energy (no corrections) = -11.94 eV/cell
theoretical density = 6.6 g cm⁻³

```
data_NaTlCd2Co
_chemical_formula_sum 'Na1 Tl1 Cd2 Co1'
_symmetry_space_group_name_H-M 'P 4/m m m'
_symmetry_Int_Tables_number 123
_symmetry_space_group_name_Hall '-P 4 2'
_cell_length_a 5.0655
_cell_length_b 5.0655
_cell_length_c 5.0047
_cell_angle_alpha 90.00
_cell_angle_beta 90.00
_cell_angle_gamma 90.00
loop_
_atom_site_label
_atom_site_fract_x
_atom_site_fract_y
_atom_site_fract_z
Na1 0.0000 0.0000 0.0000
Tl1 0.5000 0.5000 0.0000
Cd1 0.0000 0.5000 0.5000
Co1 0.5000 0.5000 0.5000
```

---

## Na2YCdCo (GGA-PBE)

Data for Na2YCdCo after structural relaxation.

Output
formation enthalpy at 0 K = 0.96 eV per atom
total DFT energy (no corrections) = -12.33 eV/cell
theoretical density = 2.9 g cm⁻³

```
data_Na2YCdCo
_chemical_formula_sum 'Na2 Y1 Cd1 Co1'
_symmetry_space_group_name_H-M 'P 4/m m m'
_symmetry_Int_Tables_number 123
_symmetry_space_group_name_Hall '-P 4 2'
_cell_length_a 6.2575
_cell_length_b 6.2575
_cell_length_c 4.5153
_cell_angle_alpha 90.00
_cell_angle_beta 90.00
_cell_angle_gamma 90.00
loop_
_atom_site_label
_atom_site_fract_x
_atom_site_fract_y
_atom_site_fract_z
Na1 0.0000 0.5000 0.0000
Y1 0.0000 0.0000 0.0000
Cd1 0.5000 0.5000 0.5000
Co1 0.0000 0.0000 0.5000
```

---

## Nb3CdCo (GGA-PBE)

Data for Nb3CdCo after structural relaxation.

Output
formation enthalpy at 0 K = 0.61 eV per atom
total DFT energy (no corrections) = -35.19 eV/cell
theoretical density = 7.5 g cm⁻³

```
data_Nb3CdCo
_chemical_formula_sum 'Nb3 Cd1 Co1'
_symmetry_space_group_name_H-M 'P m -3 m'
_symmetry_Int_Tables_number 221
_symmetry_space_group_name_Hall '-P 4 2 3'
_cell_length_a 4.6313
_cell_length_b 4.6313
_cell_length_c 4.6313
_cell_angle_alpha 90.00
_cell_angle_beta 90.00
_cell_angle_gamma 90.00
loop_
_atom_site_label
_atom_site_fract_x
_atom_site_fract_y
_atom_site_fract_z
Nb1 0.0000 0.0000 0.5000
Cd1 0.5000 0.5000 0.5000
Co1 0.0000 0.0000 0.0000
```

---

## NbCdCo4 (GGA-PBE)

Data for NbCdCo4 after structural relaxation.

Output
formation enthalpy at 0 K = -0.01 eV per atom
total DFT energy (no corrections) = -157.75 eV/cell
theoretical density = 9.4 g cm⁻³

```
data_NbCdCo4
_chemical_formula_sum 'Nb4 Cd4 Co16'
_symmetry_space_group_name_H-M 'F -4 3 m'
_symmetry_Int_Tables_number 216
_symmetry_space_group_name_Hall 'F -4 2 3'
_cell_length_a 6.7876
_cell_length_b 6.7876
_cell_length_c 6.7876
_cell_angle_alpha 90.00
_cell_angle_beta 90.00
_cell_angle_gamma 90.00
loop_
_atom_site_label
_atom_site_fract_x
_atom_site_fract_y
_atom_site_fract_z
Nb1 0.0000 0.0000 0.0000
Cd1 0.2500 0.2500 0.2500
Co1 0.1249 0.1249 0.6249
```

---

## Nb2CdCo2 (GGA-PBE)

Data for Nb2CdCo2 after structural relaxation.

Output
formation enthalpy at 0 K = -0.07 eV per atom
total DFT energy (no corrections) = -71.21 eV/cell
theoretical density = 9.0 g cm⁻³

```
data_Nb2CdCo2
_chemical_formula_sum 'Nb4 Cd2 Co4'
_symmetry_space_group_name_H-M 'P 4/m b m'
_symmetry_Int_Tables_number 127
_symmetry_space_group_name_Hall '-P 4 2ab'
_cell_length_a 7.1369
_cell_length_b 7.1369
_cell_length_c 3.0237
_cell_angle_alpha 90.00
_cell_angle_beta 90.00
_cell_angle_gamma 90.00
loop_
_atom_site_label
_atom_site_fract_x
_atom_site_fract_y
_atom_site_fract_z
Nb1 0.1670 0.3330 0.0000
Cd1 0.0000 0.0000 0.5000
Co1 0.1264 0.6264 0.5000
```

---

## Nb3CdCo (GGA-PBE)

Data for Nb3CdCo after structural relaxation.

Output
formation enthalpy at 0 K = 2.45 eV per atom
total DFT energy (no corrections) = -26.00 eV/cell
theoretical density = 6.2 g cm⁻³

```
data_Nb3CdCo
_chemical_formula_sum 'Nb3 Cd1 Co1'
_symmetry_space_group_name_H-M 'P m -3 m'
_symmetry_Int_Tables_number 221
_symmetry_space_group_name_Hall '-P 4 2 3'
_cell_length_a 4.9469
_cell_length_b 4.9469
_cell_length_c 4.9469
_cell_angle_alpha 90.00
_cell_angle_beta 90.00
_cell_angle_gamma 90.00
loop_
_atom_site_label
_atom_site_fract_x
_atom_site_fract_y
_atom_site_fract_z
Nb1 0.0000 0.0000 0.5000
Cd1 0.0000 0.0000 0.0000
Co1 0.5000 0.5000 0.5000
```

---

Number 1: density of states at the Fermi level 8.0 states/eV/cell, calculated volume 109.1 Å³/f.u.. Number 2: density of states at the Fermi level 6.0 states/eV/cell, calculated volume 96.3 Å³/f.u.. Number 3: density of states at the Fermi level 3.0 states/eV/cell, calculated volume 122.8 Å³/f.u.. Number 4: density of states at the Fermi level 6.0 states/eV/cell, calculated volume 96.2 Å³/f.u.. Number 5: density of states at the Fermi level 3.8 states/eV/cell, calculated volume 123.2 Å³/f.u.. Number 6: density of states at the Fermi level 8.3 states/eV/cell, calculated volume 103.4 Å³/f.u.. Number 7: density of states at the Fermi level 2.1 states/eV/cell, calculated volume 128.4 Å³/f.u.. Number 8: density of states at the Fermi level 4.5 states/eV/cell, calculated volume 176.8 Å³/f.u.. Number 9: density of states at the Fermi level 7.9 states/eV/cell, calculated volume 99.3 Å³/f.u.. Number 10: density of states at the Fermi level 31.6 states/eV/cell, calculated volume 78.2 Å³/f.u.. Number 11: density of states at the Fermi level 4.7 states/eV/cell, calculated volume 77.0 Å³/f.u.. Number 12: density of states at the Fermi level 12.7 states/eV/cell, calculated volume 121.1 Å³/f.u..